No. 1
Ga2TeS after structural relaxation. Source: Alexandria via LeMat-Bulk, functional PBE-GGA.

## Properties
The formation energy without anion corrections comes out at -0.19 eV per atom. As for the raw total energy: -28.179 eV for the cell shown.

Cell: 6.919 6.919 6.473 Å, 57.70 57.70 90.00°
Positions (direct):
Ga  0.589  0.125  0.250
Te  0.000  0.000  0.000
S  0.250  0.750  0.500
S  0.500  0.500  0.000
Te  0.750  0.250  0.500
Ga  0.875  0.839  0.750
Ga  0.161  0.625  0.250
Ga  0.375  0.411  0.750

---

No. 2
LaSmC4 after structural relaxation. Source: Alexandria via LeMat-Bulk, functional PBE-GGA.

## Properties
For the energy of formation from the pure elements, the calculation gives -0.15 eV per atom. As for the raw total energy: -47.459 eV for the cell shown.

Cell: 3.859 4.244 6.906 Å, 80.97 73.77 62.96°
Positions (direct):
C  0.704  0.903  0.689
La  0.000  0.000  0.000
Sm  0.500  0.500  0.500
C  0.195  0.399  0.212
C  0.296  0.097  0.311
C  0.805  0.601  0.788